VASP calculation (PBE) on crystalline PmSbN2O at its relaxed geometry.

Cell and atoms, written as POSCAR:
```
PmSbN2O
1.0
8.1184 0.0000 0.0000
0.0000 7.9561 0.0000
-7.9741 0.0000 8.1389
Pm Sb N O
8 8 16 8
direct
0.0481 0.2494 0.0202
0.0481 0.2506 0.5202
0.4501 0.7456 0.9698
0.4501 0.7544 0.4698
0.5499 0.2456 0.5302
0.5499 0.2544 0.0302
0.9519 0.7494 0.4798
0.9519 0.7506 0.9798
0.0176 0.0038 0.7563
0.0176 0.4962 0.2563
0.4972 0.5015 0.2565
0.4972 0.9985 0.7565
0.5028 0.0015 0.2435
0.5028 0.4985 0.7435
0.9824 0.5038 0.7437
0.9824 0.9962 0.2437
0.0362 0.7465 0.3171
0.0362 0.7535 0.8171
0.1969 0.5519 0.1953
0.1969 0.9481 0.6953
0.2886 0.0604 0.9993
0.2886 0.4396 0.4993
0.4649 0.2486 0.2823
0.4649 0.2514 0.7823
0.5351 0.7486 0.2177
0.5351 0.7514 0.7177
0.7114 0.5604 0.5007
0.7114 0.9396 0.0007
0.8031 0.0519 0.3047
0.8031 0.4481 0.8047
0.9638 0.2465 0.1829
0.9638 0.2535 0.6829
0.2127 0.5509 0.7119
0.2127 0.9491 0.2119
0.3029 0.0420 0.4987
0.3029 0.4580 0.9987
0.6971 0.5420 0.0013
0.6971 0.9580 0.5013
0.7873 0.0509 0.7881
0.7873 0.4491 0.2881
```

Properties
V (Å³/cell): 525.70
Calculated density (g/cm3): 7.853
Symmetry: P2_1/c (14)
E_tot (eV/atom): -7.02